KSrCd2 | PBE | relaxed

Unit cell a=6.730 b=6.730 c=6.070 alpha=107.81 beta=107.81 gamma=32.73
Sites, in units of the cell vectors:
1 K 0.000 0.000 0.000
2 Sr 0.198 0.198 0.639
3 Cd 0.448 0.448 0.467
4 Cd 0.759 0.759 0.181

Summary:
DOS(E_F) (states/eV per cell): 3.30
ΔH_f (0 K) (kJ per mole of atoms): -9.8
Symmetry: Cm
Size of the total moment (μB/f.u.): 0.0
Polymorph energy (0 for the lowest one) (eV/atom): 0.0448